{"formula": "Mg2VSnO6", "functional": "PBE with a Hubbard U", "state": "relaxed", "dos_ef_per_ev_atom": 0.0000, "total_energy_ev_per_cell": -66.0, "cell": [[5.176, 0.000, 0.000], [2.551, 4.538, 0.000], [2.559, 1.520, 4.655]], "species": ["Mg", "Mg", "V", "Sn", "O", "O", "O", "O", "O", "O"], "frac_coords": [[0.000, 0.000, 0.000], [0.497, 0.508, 0.500], [0.291, 0.300, 0.124], [0.791, 0.792, 0.633], [0.088, 0.400, 0.838], [0.180, 0.924, 0.324], [0.394, 0.689, 0.828], [0.551, 0.202, 0.320], [0.676, 0.098, 0.828], [0.909, 0.584, 0.320]]}

---

{"formula": "Mg6VSnO8", "functional": "PBE with a Hubbard U", "state": "relaxed", "dos_ef_per_ev_atom": 0.0631, "de_polymorph_kcal_per_mol_atoms": 0.38, "cell": [[4.445, 0.000, 0.000], [0.000, 4.445, 0.000], [0.000, 0.000, 8.937]], "species": ["Mg", "Mg", "Mg", "Mg", "Mg", "Mg", "V", "Sn", "O", "O", "O", "O", "O", "O", "O", "O"], "frac_coords": [[0.000, 0.000, 0.000], [0.000, 0.000, 0.500], [0.000, 0.500, 0.240], [0.000, 0.500, 0.760], [0.500, 0.000, 0.240], [0.500, 0.000, 0.760], [0.500, 0.500, 0.000], [0.500, 0.500, 0.500], [0.000, 0.000, 0.247], [0.000, 0.000, 0.753], [0.000, 0.500, 0.000], [0.000, 0.500, 0.500], [0.500, 0.000, 0.000], [0.500, 0.000, 0.500], [0.500, 0.500, 0.234], [0.500, 0.500, 0.766]]}

---

{"formula": "Mg6VSnO8", "functional": "PBE with a Hubbard U", "state": "relaxed", "dos_ef_per_ev_atom": 0.0650, "de_polymorph_kcal_per_mol_atoms": 0.00, "cell": [[4.460, 0.000, 0.000], [0.000, 4.460, 0.000], [0.000, 0.000, 8.844]], "species": ["Mg", "Mg", "Mg", "Mg", "Mg", "Mg", "V", "Sn", "O", "O", "O", "O", "O", "O", "O", "O"], "frac_coords": [[0.000, 0.000, 0.000], [0.000, 0.500, 0.237], [0.000, 0.500, 0.763], [0.500, 0.000, 0.237], [0.500, 0.000, 0.763], [0.500, 0.500, 0.000], [0.000, 0.000, 0.500], [0.500, 0.500, 0.500], [0.000, 0.000, 0.243], [0.000, 0.000, 0.757], [0.000, 0.500, 0.000], [0.000, 0.500, 0.500], [0.500, 0.000, 0.000], [0.500, 0.000, 0.500], [0.500, 0.500, 0.226], [0.500, 0.500, 0.774]]}

---

{"formula": "MgSn2WO", "functional": "PBE with a Hubbard U", "state": "relaxed", "dos_ef_per_ev_atom": 0.5514, "total_energy_ev_per_cell": -14.5, "cell": [[5.228, 0.000, 0.000], [0.000, 5.228, 0.000], [0.000, 0.000, 5.402]], "species": ["Mg", "Sn", "Sn", "W", "O"], "frac_coords": [[0.000, 0.000, 0.000], [0.000, 0.500, 0.000], [0.500, 0.000, 0.000], [0.000, 0.000, 0.500], [0.500, 0.500, 0.500]]}

---

{"formula": "MgSnWO6", "functional": "PBE with a Hubbard U", "state": "relaxed", "dos_ef_per_ev_atom": 0.0000, "total_energy_ev_per_cell": -120.4, "cell": [[5.264, 0.000, 0.000], [-2.632, 4.559, 0.000], [0.000, 0.000, 9.160]], "species": ["Mg", "Mg", "Sn", "Sn", "W", "W", "O", "O", "O", "O", "O", "O", "O", "O", "O", "O", "O", "O"], "frac_coords": [[0.000, 0.000, 0.000], [0.000, 0.000, 0.500], [0.333, 0.667, 0.250], [0.667, 0.333, 0.750], [0.333, 0.667, 0.750], [0.667, 0.333, 0.250], [0.019, 0.359, 0.632], [0.019, 0.660, 0.868], [0.340, 0.359, 0.868], [0.340, 0.981, 0.632], [0.359, 0.019, 0.132], [0.359, 0.340, 0.368], [0.641, 0.660, 0.632], [0.641, 0.981, 0.868], [0.660, 0.019, 0.368], [0.660, 0.641, 0.132], [0.981, 0.340, 0.132], [0.981, 0.641, 0.368]]}

---

{"formula": "Mg2SnWO6", "functional": "PBE with a Hubbard U", "state": "relaxed", "dos_ef_per_ev_atom": 0.0000, "de_polymorph_kcal_per_mol_atoms": 0.00, "cell": [[5.225, 0.000, 0.000], [2.186, 5.264, 0.000], [2.192, 0.805, 5.203]], "species": ["Mg", "Mg", "Sn", "W", "O", "O", "O", "O", "O", "O"], "frac_coords": [[0.000, 0.000, 0.000], [0.478, 0.611, 0.616], [0.241, 0.198, 0.411], [0.739, 0.597, 0.016], [0.036, 0.733, 0.784], [0.038, 0.281, 0.131], [0.441, 0.828, 0.882], [0.445, 0.478, 0.334], [0.711, 0.805, 0.260], [0.764, 0.353, 0.811]]}